LiAc2VO5 | Alexandria via LeMat-Bulk | PBE+U | optimized geometry; theoretical density = 6521 kg/m³; total moment = 0.01 μB per cell; VASP energy = -7.162 eV per atom
1.0
-5.7076 0.8232 0.2215
-1.0503 -6.4538 -3.0787
-0.1915 -3.0852 6.5328
O V Ac Li
10 2 4 2
Direct
0.7643 0.6262 0.8738 O
0.2357 0.8738 0.3738 O
0.2357 0.1262 0.6262 O
0.2357 0.6262 0.8738 O
0.7643 0.3738 0.1262 O
0.5000 0.0000 0.0000 O
0.5000 0.5000 0.5000 O
0.7643 0.8738 0.3738 O
0.7643 0.1262 0.6262 O
0.2357 0.3738 0.1262 O
0.0000 0.0000 0.5000 V
0.0000 0.5000 0.0000 V
0.5000 0.1815 0.3185 Ac
0.5000 0.8185 0.6815 Ac
0.5000 0.3185 0.8185 Ac
0.5000 0.6815 0.1815 Ac
0.0000 0.0000 0.0000 Li
0.0000 0.5000 0.5000 Li